VASP calculation (GGA-PBE) on a relaxed structure of LiNiPt3.

```
LiNiPt3
1.0
-2.514 2.927 -1.633
-2.789 -2.959 -1.010
-1.859 0.481 3.723
Pt Li Ni
3 1 1
direct
0.000 0.000 0.500
0.000 0.500 0.000
0.500 0.000 0.000
0.000 0.000 0.000
0.500 0.500 0.500
```

Summary:
- Energy relative to the elements: 0.602 eV per atom
- Polymorph energy (0 for the lowest one): 193 meV/atom
- Total magnetic moment: 1.3 μB per cell
- DOS(E_F): 1.811 states/eV/atom
- Mass density: 14.70 g/cm3
- Space group: Pm-3m (221)